Entry 1:
{
  "formula": "Cd2Re3",
  "functional": "GGA-PBE",
  "state": "relaxed",
  "lattice_angstrom": [[1.418, 0.819, 12.069], [-1.418, 0.819, 12.069], [0.000, -1.637, 12.069]],
  "species": ["Cd", "Cd", "Re", "Re", "Re"],
  "fractional_positions": [[0.099, 0.099, 0.099], [0.901, 0.901, 0.901], [0.305, 0.305, 0.305], [0.500, 0.500, 0.500], [0.695, 0.695, 0.695]],
  "total_magnetization_mub_per_fu": 0.00,
  "final_energy_ha_per_atom": -0.272,
  "formation_energy_kcal_per_mol_atoms": 9.87
}

Entry 2:
{
  "formula": "Zr2HIrOs",
  "functional": "GGA-PBE",
  "state": "relaxed",
  "lattice_angstrom": [[4.485, 0.000, 0.000], [0.000, 4.485, 0.000], [0.000, 0.000, 3.677]],
  "species": ["Zr", "Zr", "H", "Ir", "Os"],
  "fractional_positions": [[0.000, 0.500, 0.000], [0.500, 0.000, 0.000], [0.000, 0.000, 0.000], [0.500, 0.500, 0.500], [0.000, 0.000, 0.500]],
  "total_magnetization_mub_per_fu": 0.00,
  "de_polymorph_mev_per_atom": 0,
  "final_energy_ha_per_atom": -0.316
}

Entry 3:
{
  "formula": "Sc2MnCl",
  "functional": "GGA-PBE",
  "state": "relaxed",
  "lattice_angstrom": [[1.604, 0.926, 8.378], [-1.604, 0.926, 8.378], [0.000, -1.852, 8.378]],
  "species": ["Sc", "Sc", "Mn", "Cl"],
  "fractional_positions": [[0.086, 0.086, 0.086], [0.914, 0.914, 0.914], [0.000, 0.000, 0.000], [0.500, 0.500, 0.500]],
  "formation_energy_uncorrected_ev_per_atom": 0.065,
  "total_magnetization_mub_per_fu": 0.00,
  "de_polymorph_mev_per_atom": 658,
  "final_energy_ha_per_atom": -0.215
}

Repeat the third record exactly.
{
  "formula": "Sc2MnCl",
  "functional": "GGA-PBE",
  "state": "relaxed",
  "lattice_angstrom": [[1.604, 0.926, 8.378], [-1.604, 0.926, 8.378], [0.000, -1.852, 8.378]],
  "species": ["Sc", "Sc", "Mn", "Cl"],
  "fractional_positions": [[0.086, 0.086, 0.086], [0.914, 0.914, 0.914], [0.000, 0.000, 0.000], [0.500, 0.500, 0.500]],
  "formation_energy_uncorrected_ev_per_atom": 0.065,
  "total_magnetization_mub_per_fu": 0.00,
  "de_polymorph_mev_per_atom": 658,
  "final_energy_ha_per_atom": -0.215
}